1.
Here is a geometry-optimized Ho2MnAl8 structure from Alexandria. Energies are from PBE.

Geometry as POSCAR:
```
Ho2MnAl8
1.0
-4.201 0.468 -0.015
-0.269 -2.298 3.538
1.021 9.364 6.159
Ho Mn Al
2 1 8
direct
0.000 0.000 0.308 Ho
0.000 0.000 0.692 Ho
0.000 0.000 0.000 Mn
0.000 0.500 0.500 Al
0.500 0.000 0.500 Al
0.500 0.500 0.310 Al
0.500 0.500 0.690 Al
0.000 0.500 0.118 Al
0.500 0.000 0.118 Al
0.000 0.500 0.882 Al
0.500 0.000 0.882 Al
```

Values from the calculation:
formation enthalpy at 0 K = -0.35 eV per atom
SG = P4/mmm, No. 123
raw total energy = -52.083 eV/f.u.


2.
Here is a geometry-optimized KTc2Au structure from Alexandria. Energies are from PBE.

Geometry as POSCAR:
```
KTc2Au
1.0
3.659 -0.322 0.064
2.791 2.388 0.064
0.294 0.094 9.113
Au K Tc
1 1 2
direct
0.482 0.482 0.546 Au
0.237 0.237 0.253 K
0.013 0.013 0.927 Tc
0.768 0.768 0.774 Tc
```

Values from the calculation:
polymorph energy (0 for the lowest one) = 0.140 eV per atom
formation enthalpy at 0 K = 0.56 eV per atom
SG = Cm, No. 8
raw total energy = -22.849 eV/f.u.


3.
Here is a geometry-optimized Tb3PrTm4 structure from Alexandria. Energies are from PBE.

Geometry as POSCAR:
```
Tb3PrTm4
1.0
3.421 0.000 -0.432
-0.175 6.500 -1.385
-0.245 -0.921 11.830
Pr Tm Tb
1 4 3
direct
0.500 0.000 0.000 Pr
0.740 0.244 0.480 Tm
0.260 0.756 0.520 Tm
0.127 0.370 0.254 Tm
0.873 0.630 0.746 Tm
0.000 0.500 0.000 Tb
0.127 0.880 0.254 Tb
0.873 0.120 0.746 Tb
```

Values from the calculation:
polymorph energy (0 for the lowest one) = 0.163 eV per atom
formation enthalpy at 0 K = 0.18 eV per atom
SG = C2/m, No. 12
raw total energy = -35.149 eV/f.u.


4.
Here is a geometry-optimized SrTe2Se structure from Alexandria. Energies are from PBE.

Geometry as POSCAR:
```
SrTe2Se
1.0
-0.071 3.903 -1.163
-4.610 -0.123 -0.130
-3.404 2.000 6.919
Se Sr Te
1 1 2
direct
0.000 0.272 0.555 Se
0.500 0.698 0.662 Sr
0.000 0.214 0.024 Te
0.500 0.316 0.258 Te
```

Values from the calculation:
raw formation energy = -840 meV per atom
SG = Pm, No. 6
raw total energy = -14.810 eV/f.u.


5.
Here is a geometry-optimized KMnBe2 structure from Alexandria. Energies are from PBE.

Geometry as POSCAR:
```
KMnBe2
1.0
9.314 -0.011 -0.006
8.908 2.719 -0.006
8.908 1.324 2.375
Be K Mn
2 1 1
direct
0.019 0.019 0.019 Be
0.481 0.481 0.481 Be
0.250 0.250 0.250 K
0.750 0.750 0.750 Mn
```

Values from the calculation:
polymorph energy (0 for the lowest one) = 0.440 eV per atom
formation enthalpy at 0 K = 0.90 eV per atom
SG = R-3m, No. 166
raw total energy = -14.133 eV/f.u.


6.
Here is a geometry-optimized SnSbH2 structure from Alexandria. Energies are from PBE.

Geometry as POSCAR:
```
SnSbH2
1.0
0.000 3.102 3.102
3.102 0.000 3.102
3.102 3.102 0.000
Sb Sn H
1 1 2
direct
0.500 0.500 0.500 Sb
0.000 0.000 0.000 Sn
0.250 0.250 0.250 H
0.750 0.750 0.750 H
```

Values from the calculation:
polymorph energy (0 for the lowest one) = 0.538 eV per atom
SG = Fm-3m, No. 225
raw total energy = -12.258 eV/f.u.


7.
Here is a geometry-optimized Li2ReAsBr structure from Alexandria. Energies are from PBE.

Geometry as POSCAR:
```
Li2ReAsBr
1.0
-3.322 -3.575 0.175
3.985 -3.753 -1.017
0.771 -0.481 4.798
Re As Br Li
1 1 1 2
direct
0.500 0.500 0.500 Re
0.000 0.000 0.000 As
0.000 0.500 0.000 Br
0.000 0.000 0.500 Li
0.500 0.000 0.000 Li
```

Values from the calculation:
raw formation energy = 1014 meV per atom
SG = P4/mmm, No. 123
raw total energy = -17.529 eV/f.u.


8.
Here is a geometry-optimized TaCd2BiS structure from Alexandria. Energies are from PBE.

Geometry as POSCAR:
```
TaCd2BiS
1.0
-1.350 -4.385 -1.893
3.994 0.370 -3.706
3.104 -2.301 3.116
S Cd Bi Ta
1 2 1 1
direct
0.000 0.000 0.000 S
0.000 0.000 0.500 Cd
0.500 0.000 0.000 Cd
0.000 0.500 0.000 Bi
0.500 0.500 0.500 Ta
```

Values from the calculation:
raw formation energy = 1035 meV per atom
SG = P4/mmm, No. 123
raw total energy = -16.515 eV/f.u.


What is the formula in the seventh record? Li2ReAsBr


Copy entry 4 word for word.
Here is a geometry-optimized SrTe2Se structure from Alexandria. Energies are from PBE.

Geometry as POSCAR:
```
SrTe2Se
1.0
-0.071 3.903 -1.163
-4.610 -0.123 -0.130
-3.404 2.000 6.919
Se Sr Te
1 1 2
direct
0.000 0.272 0.555 Se
0.500 0.698 0.662 Sr
0.000 0.214 0.024 Te
0.500 0.316 0.258 Te
```

Values from the calculation:
raw formation energy = -840 meV per atom
SG = Pm, No. 6
raw total energy = -14.810 eV/f.u.